<w>
CoHIO2 | GGA+U | optimized geometry

The structure in extended XYZ format:
```
5
Lattice="-4.192 -0.419 0.191 0.301 -3.821 -1.758 0.282 -1.406 3.106" Properties=species:S:1:pos:R:3 pbc="T T T"
Co -1.804 -2.823 0.770
H 0.000 0.000 0.000
I 0.141 -0.703 1.553
O 0.151 -1.911 -0.879
O -2.096 -0.209 0.096
```

Computed properties:
- calculated volume (A^3/atom) = 12.2

<x>
CoHIO2 | GGA+U | optimized geometry

The structure in extended XYZ format:
```
5
Lattice="-2.058 0.955 -2.725 2.683 -0.603 -2.237 -2.346 -7.398 -0.821" Properties=species:S:1:pos:R:3 pbc="T T T"
O 1.342 -0.301 -1.119
O -1.029 0.477 -1.362
Co 0.000 0.000 0.000
H -0.860 -3.523 -2.892
I -1.173 -3.699 -0.410
```

Computed properties:
- calculated volume (A^3/atom) = 19.6

Short version: <w> is the least stable of them.